This record from Alexandria describes a geometry-optimized HfMnZn2 structure. The functional is PBE.

abc: 3.159 3.159 6.415
angles: 90.00 90.00 90.00
Space group P4/mmm (No. 123)
Symmetry-distinct sites (fractional):
Hf 0.000 0.000 0.000 x1
Mn 0.000 0.000 0.500 x1
Zn 0.500 0.500 0.283 x2

Calculated values
As for the volume: 64.0 Å³ per cell. As for the crystal system: tetragonal. The calculation puts the excess energy over the best structure of this formula in the dataset at 5 meV per atom. The value obtained for the calculated total energy is -5.470 eV per atom. The density of states at the Fermi level is 2.544 states/eV/cell. As for the mass density: 9.4 g/cm³. The calculation puts the formation energy at -0.0527 eV/atom.